# GeBi2PN (GGA-PBE, optimized geometry)
data_GeBi2PN
_space_group_name_H-M_alt 'P 4/m m m'
_space_group_IT_number 123
_space_group_name_Hall '-P 4 2'
_cell_length_a 5.058
_cell_length_b 5.058
_cell_length_c 4.195
_cell_angle_alpha 90.00
_cell_angle_beta 90.00
_cell_angle_gamma 90.00
loop_
_atom_site_label
_atom_site_type_symbol
_atom_site_fract_x
_atom_site_fract_y
_atom_site_fract_z
Ge1 Ge 0.000 0.000 0.000
Bi1 Bi 0.000 0.500 0.500
P1 P 0.500 0.500 0.000
N1 N 0.000 0.000 0.500
# DFT total energy   -4.508 eV/atom
# Magnetization   0.0 μB/f.u.
# Raw formation energy   0.715 eV per atom
# Density   8.3 g/cm3